(1)
! ScBeRe2, single point on PBEsol structure, DFT meta-GGA SCAN; values from VASP
&SYSTEM
  ibrav = 0, nat = 4, ntyp = 3
/
ATOMIC_SPECIES
Sc 44.96 Sc.upf
Re 186.21 Re.upf
Be 9.01 Be.upf
CELL_PARAMETERS angstrom
2.685 0.014 0.000
-0.725 4.915 0.000
-0.980 -2.465 4.365
ATOMIC_POSITIONS angstrom
Sc 1.342 0.007 0.000
Re -0.490 -1.232 2.183
Re 0.490 1.232 2.183
Be -0.362 2.457 0.000
! Energy of formation ... 79.6 meV/atom
! Crystal system ... monoclinic
! Space-group type ... C2/m

***

(2)
! CdHSe3, single point on PBEsol structure, DFT meta-GGA SCAN; values from VASP
&SYSTEM
  ibrav = 0, nat = 5, ntyp = 3
/
ATOMIC_SPECIES
H 1.01 H.upf
Se 78.96 Se.upf
Cd 112.41 Cd.upf
CELL_PARAMETERS angstrom
5.189 0.000 0.000
0.000 5.189 0.000
0.000 0.000 5.189
ATOMIC_POSITIONS angstrom
H 2.594 2.594 2.594
Se 0.000 2.594 0.000
Se 0.000 0.000 2.594
Se 2.594 0.000 0.000
Cd 0.000 0.000 0.000
! Final energy ... -17.782 eV/atom
! Crystal system ... cubic
! Space-group type ... Pm-3m

***

(3)
! KIn2Os, single point on PBEsol structure, DFT meta-GGA SCAN; values from VASP
&SYSTEM
  ibrav = 0, nat = 4, ntyp = 3
/
ATOMIC_SPECIES
In 114.82 In.upf
K 39.10 K.upf
Os 190.23 Os.upf
CELL_PARAMETERS angstrom
-3.099 3.323 1.798
-4.744 -0.206 -1.155
-3.284 -1.297 3.378
ATOMIC_POSITIONS angstrom
In -2.782 0.455 1.005
In -8.345 1.365 3.016
K 0.000 0.000 0.000
Os -5.563 0.910 2.010
! Distance to the lowest polymorph of the same formula ... 269 meV/atom
! Energy of formation ... 654.5 meV/atom
! Crystal system ... cubic
! Space-group type ... Fm-3m

***

Number 1: magnetization 0.0 μB per cell. Number 2: magnetization 4.6 μB per cell. Number 3: magnetization 0.0 μB per cell.